CdSb2Os | PBE | relaxed

a = 4.9121 Å, b = 4.9121 Å, c = 4.9121 Å
α = 60.00°, β = 60.00°, γ = 60.00°
Positions (direct):
Cd  0.5000  0.5000  0.5000
Os  0.7500  0.7500  0.7500
Sb  0.0000  0.0000  0.0000
Sb  0.2500  0.2500  0.2500

Calculated total energy = -17.22 eV per cell



Cd2SbOs | PBE | relaxed

a = 4.8065 Å, b = 4.8065 Å, c = 4.8065 Å
α = 60.00°, β = 60.00°, γ = 60.00°
Positions (direct):
Cd  0.0000  0.0000  0.0000
Cd  0.7500  0.7500  0.7500
Os  0.2500  0.2500  0.2500
Sb  0.5000  0.5000  0.5000

Calculated total energy = -14.64 eV per cell



CdSiOs2 | PBE | relaxed

a = 4.4376 Å, b = 4.4376 Å, c = 4.4376 Å
α = 60.00°, β = 60.00°, γ = 60.00°
Positions (direct):
Cd  0.2500  0.2500  0.2500
Os  0.0000  0.0000  0.0000
Os  0.7500  0.7500  0.7500
Si  0.5000  0.5000  0.5000

Calculated total energy = -25.76 eV per cell



CdSnOs2 | PBE | relaxed

a = 4.6101 Å, b = 4.6101 Å, c = 4.6101 Å
α = 60.00°, β = 60.00°, γ = 60.00°
Positions (direct):
Cd  0.2500  0.2500  0.2500
Os  0.0000  0.0000  0.0000
Os  0.7500  0.7500  0.7500
Sn  0.5000  0.5000  0.5000

Calculated total energy = -23.96 eV per cell



Ta2CdOs2 | PBE | relaxed

a = 7.6666 Å, b = 7.6666 Å, c = 3.0181 Å
α = 90.00°, β = 90.00°, γ = 90.00°
Positions (direct):
Cd  0.0000  0.0000  0.0000
Cd  0.5000  0.5000  0.0000
Os  0.6395  0.1395  0.0000
Os  0.1395  0.3605  0.0000
Os  0.8605  0.6395  0.0000
Os  0.3605  0.8605  0.0000
Ta  0.3462  0.1538  0.5000
Ta  0.8462  0.3462  0.5000
Ta  0.1538  0.6538  0.5000
Ta  0.6538  0.8462  0.5000

Energy relative to the elements = -0.028 eV/atom
Calculated total energy = -94.39 eV per cell



TaCdOs | PBE | relaxed

a = 4.4208 Å, b = 4.4208 Å, c = 4.4208 Å
α = 60.00°, β = 60.00°, γ = 60.00°
Positions (direct):
Cd  0.2500  0.2500  0.2500
Os  0.7500  0.7500  0.7500
Ta  0.0000  0.0000  0.0000

Energy above the most stable polymorph in this dataset = 264 meV/atom
Energy relative to the elements = 0.780 eV/atom
Calculated total energy = -21.63 eV per cell



TaCdOs | PBE | relaxed

a = 4.4153 Å, b = 4.4153 Å, c = 4.4153 Å
α = 60.00°, β = 60.00°, γ = 60.00°
Positions (direct):
Cd  0.2500  0.2500  0.2500
Os  0.0000  0.0000  0.0000
Ta  0.7500  0.7500  0.7500

Energy above the most stable polymorph in this dataset = 0 meV/atom
Energy relative to the elements = 0.516 eV/atom
Calculated total energy = -22.43 eV per cell



CdTeOs2 | PBE | relaxed

a = 4.6592 Å, b = 4.6592 Å, c = 4.6592 Å
α = 60.00°, β = 60.00°, γ = 60.00°
Each line ends with the local moment (μB).
Positions (direct):
Cd  0.5000  0.5000  0.5000  0.00
Os  0.0000  0.0000  0.0000  0.05
Os  0.2500  0.2500  0.2500  0.04
Te  0.7500  0.7500  0.7500  0.00

Calculated total energy = -22.12 eV per cell



> Which of these has the highest calculated total energy?

Cd2SbOs